Ho3Zn4Au2: optimized geometry, GGA-PBE.

Structure (CIF):
```
data_Ho3Zn4Au2
_cell_length_a 10.501
_cell_length_b 4.495
_cell_length_c 8.599
_cell_angle_alpha 90.00
_cell_angle_beta 114.89
_cell_angle_gamma 90.00
_space_group_name_H-M_alt 'C 1 2/m 1'
_space_group_IT_number 12
_space_group_name_Hall '-C 2y'
loop_
_atom_site_label
_atom_site_fract_x
_atom_site_fract_y
_atom_site_fract_z
Ho1 0.000 0.000 0.000
Ho2 0.173 0.500 0.660
Zn1 0.041 0.000 0.382
Zn2 0.224 0.500 0.052
Au1 0.105 0.500 0.271
```

Results
For the formation energy, the calculation gives -569 meV per atom. The calculation puts the total magnetization at 0.00 μB per cell. Its density is 10.375 g cm⁻³.



Ag2PbSe: optimized geometry, GGA-PBE.

Structure (CIF):
```
data_Ag2PbSe
_cell_length_a 3.861
_cell_length_b 3.861
_cell_length_c 6.043
_cell_angle_alpha 90.00
_cell_angle_beta 90.00
_cell_angle_gamma 90.00
_space_group_name_H-M_alt 'P 4/m m m'
_space_group_IT_number 123
_space_group_name_Hall '-P 4 2'
loop_
_atom_site_label
_atom_site_fract_x
_atom_site_fract_y
_atom_site_fract_z
Ag1 0.000 0.000 0.241
Pb1 0.500 0.500 0.500
Se1 0.500 0.500 0.000
```

Results
The calculation puts the total magnetization at 0.00 μB per cell. The formation energy without anion corrections is 3 kJ per mole of atoms. Its density is 9.249 g cm⁻³.



PrAlZnCd: optimized geometry, GGA-PBE.

Structure (CIF):
```
data_PrAlZnCd
_cell_length_a 7.072
_cell_length_b 7.072
_cell_length_c 7.072
_cell_angle_alpha 90.00
_cell_angle_beta 90.00
_cell_angle_gamma 90.00
_space_group_name_H-M_alt 'F -4 3 m'
_space_group_IT_number 216
_space_group_name_Hall 'F -4 2 3'
loop_
_atom_site_label
_atom_site_fract_x
_atom_site_fract_y
_atom_site_fract_z
Pr1 0.000 0.000 0.000
Al1 0.250 0.250 0.250
Zn1 0.250 0.250 0.750
Cd1 0.000 0.000 0.500
```

Results
For the formation energy, the calculation gives -229 meV per atom. The calculation puts the total magnetization at 0.00 μB per cell. Its density is 6.492 g cm⁻³.



CoAu2: optimized geometry, GGA-PBE.

Structure (CIF):
```
data_CoAu2
_cell_length_a 6.050
_cell_length_b 6.050
_cell_length_c 6.050
_cell_angle_alpha 90.00
_cell_angle_beta 90.00
_cell_angle_gamma 90.00
_space_group_name_H-M_alt 'P a -3'
_space_group_IT_number 205
_space_group_name_Hall '-P 2ac 2ab 3'
loop_
_atom_site_label
_atom_site_fract_x
_atom_site_fract_y
_atom_site_fract_z
Co1 0.000 0.000 0.000
Au1 0.136 0.636 0.864
```

Results
For the formation energy, the calculation gives 630 meV per atom. The calculation puts the total magnetization at 7.89 μB per cell. Its density is 13.582 g cm⁻³.